Density functional theory data (GGA-PBE) for a relaxed structure of EuEr2Cu.

a = 3.4966 Å, b = 3.4966 Å, c = 9.0535 Å
α = 90.00°, β = 90.00°, γ = 90.00°
Space group P4/mmm (No. 123)
Inequivalent atoms, fractional coordinates:
Eu 0.0000 0.0000 0.0000
Er 0.5000 0.5000 0.3175
Cu 0.0000 0.0000 0.5000

Values from the calculation:
Electronic total energy ... -5.94 eV/atom
Total moment ... 7.8 μB per cell